# 1
Density functional theory data (GGA-PBE) for a geometry-optimized ZrCrMo2 structure.

calculated total energy = -9.800 eV/atom
polymorph energy (0 for the lowest one) = 0.092 eV per atom

```
data_ZrCrMo2
_chemical_formula_sum 'Zr1 Cr1 Mo2'
_cell_length_a 2.8525
_cell_length_b 4.3826
_cell_length_c 5.2864
_cell_angle_alpha 90.00
_cell_angle_beta 100.39
_cell_angle_gamma 90.00
_space_group_name_H-M_alt 'P 1'
_space_group_IT_number 1
_space_group_name_Hall 'P 1'
loop_
_atom_site_label
_atom_site_type_symbol
_atom_site_fract_x
_atom_site_fract_y
_atom_site_fract_z
Zr1 Zr 0.0000 0.0000 0.0000
Cr1 Cr 0.7465 0.5000 0.2573
Mo1 Mo 0.2561 0.5000 0.7265
Mo2 Mo 0.5034 0.0000 0.4902
```


# 2
Density functional theory data (GGA-PBE) for a geometry-optimized HfBeFe structure.

calculated total energy = -7.477 eV/atom
polymorph energy (0 for the lowest one) = 0.149 eV per atom

```
data_HfBeFe
_chemical_formula_sum 'Hf2 Be2 Fe2'
_cell_length_a 3.0414
_cell_length_b 3.0414
_cell_length_c 8.6006
_cell_angle_alpha 90.00
_cell_angle_beta 90.00
_cell_angle_gamma 90.00
_space_group_name_H-M_alt 'P 1'
_space_group_IT_number 1
_space_group_name_Hall 'P 1'
loop_
_atom_site_label
_atom_site_type_symbol
_atom_site_fract_x
_atom_site_fract_y
_atom_site_fract_z
Hf1 Hf 0.0000 0.0000 0.0000
Hf2 Hf 0.5000 0.5000 0.5000
Be1 Be 0.0000 0.0000 0.3031
Be2 Be 0.5000 0.5000 0.8031
Fe1 Fe 0.0000 0.0000 0.6916
Fe2 Fe 0.5000 0.5000 0.1916
```


# 3
Density functional theory data (GGA-PBE) for a geometry-optimized FeNi2Pb structure.

calculated total energy = -5.628 eV/atom

```
data_FeNi2Pb
_chemical_formula_sum 'Fe2 Ni4 Pb2'
_cell_length_a 8.0555
_cell_length_b 3.1906
_cell_length_c 4.8954
_cell_angle_alpha 90.00
_cell_angle_beta 103.51
_cell_angle_gamma 90.00
_space_group_name_H-M_alt 'P 1'
_space_group_IT_number 1
_space_group_name_Hall 'P 1'
loop_
_atom_site_label
_atom_site_type_symbol
_atom_site_fract_x
_atom_site_fract_y
_atom_site_fract_z
Fe1 Fe 0.0000 0.0000 0.0000
Fe2 Fe 0.5000 0.5000 0.0000
Ni1 Ni 0.2337 0.5000 0.1855
Ni2 Ni 0.2663 0.0000 0.8145
Ni3 Ni 0.7337 0.0000 0.1855
Ni4 Ni 0.7663 0.5000 0.8145
Pb1 Pb 0.0000 0.5000 0.5000
Pb2 Pb 0.5000 0.0000 0.5000
```


# 4
Density functional theory data (GGA-PBE) for a geometry-optimized Sm6AlCd2 structure.

calculated total energy = -3.924 eV/atom

```
data_Sm6AlCd2
_chemical_formula_sum 'Sm12 Al2 Cd4'
_cell_length_a 8.8969
_cell_length_b 8.8969
_cell_length_c 8.8969
_cell_angle_alpha 111.85
_cell_angle_beta 109.19
_cell_angle_gamma 107.41
_space_group_name_H-M_alt 'P 1'
_space_group_IT_number 1
_space_group_name_Hall 'P 1'
loop_
_atom_site_label
_atom_site_type_symbol
_atom_site_fract_x
_atom_site_fract_y
_atom_site_fract_z
Sm1 Sm 0.0637 0.2406 0.8231
Sm2 Sm 0.2394 0.5660 0.3267
Sm3 Sm 0.2394 0.9127 0.6733
Sm4 Sm 0.3056 0.2429 0.5484
Sm5 Sm 0.3056 0.7571 0.0627
Sm6 Sm 0.4175 0.2406 0.1769
Sm7 Sm 0.5825 0.7594 0.8231
Sm8 Sm 0.6944 0.2429 0.9373
Sm9 Sm 0.6944 0.7571 0.4516
Sm10 Sm 0.7606 0.0873 0.3267
Sm11 Sm 0.7606 0.4340 0.6733
Sm12 Sm 0.9363 0.7594 0.1769
Al1 Al 0.5000 0.0000 0.5000
Al2 Al 0.5000 0.5000 0.0000
Cd1 Cd 0.0000 0.1401 0.1401
Cd2 Cd 0.0000 0.8599 0.8599
Cd3 Cd 0.1386 0.5000 0.6386
Cd4 Cd 0.8614 0.5000 0.3614
```


It is found that the DOS at the Fermi energy values, taken in the order of the records, are 1.07; 0.54; 0.67; 1.14 states/eV per atom.
It is found that the formation energy values, taken in the order of the records, are 158; -96; 305; -158 meV per atom.
It is found that the magnetization values, taken in the order of the records, are 0.00; 0.00; 7.40; 0.00 Bohr magnetons per cell.